Record 1
HfMg2Cu2: relaxed, PBE.

Geometry as POSCAR:
```
HfMg2Cu2
1.0
-1.9110 1.9110 5.9924
1.9110 -1.9110 5.9924
1.9110 1.9110 -5.9924
Hf Mg Cu
1 2 2
Cartesian
0.0000 0.0000 0.0000
1.9110 0.0000 2.9962
0.0000 1.9110 2.9962
0.0000 0.0000 4.8345
0.0000 0.0000 7.1502
```

Results
Calculated formation energy ... 0.095 eV per atom
SG ... I4/mmm
Total energy ... -0.3067 Ry/atom



Record 2
SrOs2Se: relaxed, PBE.

Geometry as POSCAR:
```
SrOs2Se
1.0
-2.4378 2.4378 8.4926
2.4378 -2.4378 8.4926
2.4378 2.4378 -8.4926
Sr Os Se
2 4 2
Cartesian
0.0000 0.0000 0.0000
0.0000 2.4378 4.2463
1.2189 -0.1172 6.3695
2.3206 1.2189 2.1232
1.2189 2.5550 -2.1232
0.1172 1.2189 10.6158
2.4378 0.0000 4.2463
0.0000 0.0000 8.4926
```

Results
Formation energy from raw total energies ... 398 meV per atom
SG ... I-42d
Total energy ... -0.4784 Ry/atom



Record 3
Cu2AuBr: relaxed, PBE.

Geometry as POSCAR:
```
Cu2AuBr
1.0
3.3231 0.0000 0.0000
0.0000 3.3231 0.0000
0.0000 0.0000 6.3372
Cu Au Br
2 1 1
Cartesian
0.0000 0.0000 1.3092
0.0000 0.0000 5.0280
1.6615 1.6615 0.0000
1.6615 1.6615 3.1686
```

Results
Formation energy from raw total energies ... 156 meV per atom
SG ... P4/mmm
Total energy ... -0.2301 Ry/atom



Record 4
Ba2LaFe: relaxed, PBE.

Geometry as POSCAR:
```
Ba2LaFe
1.0
5.8273 0.0000 0.0000
0.0000 4.1883 0.0000
-2.9107 0.0000 6.4697
Ba La Fe
2 1 1
Cartesian
0.0000 0.0000 0.0000
0.0015 2.0941 3.9434
2.9148 2.0941 1.7827
2.9102 0.0000 2.9129
```

Results
Calculated formation energy ... 0.394 eV per atom
SG ... Pm
Total energy ... -0.2878 Ry/atom



Record 5
SrY3Hg: relaxed, PBE.

Geometry as POSCAR:
```
SrY3Hg
1.0
5.7811 0.0000 0.0000
0.0000 5.7811 0.0000
0.0000 0.0000 5.7811
Sr Y Hg
1 3 1
Cartesian
0.0000 0.0000 0.0000
0.0000 2.8906 2.8906
2.8906 0.0000 2.8906
2.8906 2.8906 0.0000
2.8906 2.8906 2.8906
```

Results
Calculated formation energy ... 0.118 eV per atom
SG ... Pm-3m
Total energy ... -0.3056 Ry/atom



Record 6
LaHo2H: relaxed, PBE.

Geometry as POSCAR:
```
LaHo2H
1.0
1.7427 1.0062 9.5688
-1.7427 1.0062 9.5688
0.0000 -2.0123 9.5688
La Ho H
1 2 1
Cartesian
0.0000 0.0000 0.0000
0.0000 0.0000 3.4610
0.0000 0.0000 25.2453
0.0000 0.0000 14.3532
```

Results
SG ... R-3m
Total energy ... -0.3250 Ry/atom



Record 7
Hf2NbFe: relaxed, PBE.

Geometry as POSCAR:
```
Hf2NbFe
1.0
4.6549 0.0000 0.0000
0.0000 4.6549 0.0000
0.0000 0.0000 3.2845
Hf Nb Fe
2 1 1
Cartesian
0.0000 2.3275 0.0000
2.3275 0.0000 0.0000
0.0000 0.0000 1.6423
2.3275 2.3275 1.6423
```

Results
Calculated formation energy ... 0.031 eV per atom
SG ... P4/mmm
Total energy ... -0.7040 Ry/atom



Record 8
CaLa2CdRu: relaxed, PBE.

Geometry as POSCAR:
```
CaLa2CdRu
1.0
5.3857 0.0000 0.0000
0.0000 5.3857 0.0000
0.0000 0.0000 5.5887
Ca La Cd Ru
1 2 1 1
Cartesian
0.0000 0.0000 0.0000
0.0000 2.6929 2.7944
2.6929 0.0000 2.7944
2.6929 2.6929 0.0000
2.6929 2.6929 2.7944
```

Results
Calculated formation energy ... -0.159 eV per atom
SG ... P4/mmm
Total energy ... -0.3358 Ry/atom



Record 9
LaYBePd2: relaxed, PBE.

Geometry as POSCAR:
```
LaYBePd2
1.0
5.0082 0.0000 0.0000
0.0000 5.0082 0.0000
0.0000 0.0000 6.0074
La Y Be Pd
1 1 1 2
Cartesian
0.0000 0.0000 0.0000
0.0000 0.0000 3.0037
2.5041 2.5041 0.0000
0.0000 2.5041 3.0037
2.5041 0.0000 3.0037
```

Results
Calculated formation energy ... 0.981 eV per atom
SG ... P4/mmm
Total energy ... -0.3028 Ry/atom



Record 10
Be2RuBr: relaxed, PBE.

Geometry as POSCAR:
```
Be2RuBr
1.0
-1.6816 1.6816 4.7638
1.6816 -1.6816 4.7638
1.6816 1.6816 -4.7638
Be Ru Br
2 1 1
Cartesian
0.0000 0.0000 0.0000
0.0000 1.6816 2.3819
0.0000 0.0000 4.7638
1.6816 0.0000 2.3819
```

Results
Formation energy from raw total energies ... 687 meV per atom
SG ... I-4m2
Total energy ... -0.2876 Ry/atom



Record 11
La2Pr3YAs6: relaxed, PBE.

Geometry as POSCAR:
```
La2Pr3YAs6
1.0
9.3747 -2.1527 0.0000
9.3747 2.1527 0.0000
-1.9823 0.0000 8.3751
La Pr Y As
2 3 1 6
Cartesian
2.4413 0.0000 2.7721
14.3258 0.0000 5.6030
1.4746 0.0000 6.9875
8.3836 0.0000 4.1875
15.2925 0.0000 1.3876
9.3747 0.0000 0.0000
-1.4822 0.0000 6.3471
5.4338 0.0000 3.4804
4.4818 0.0000 7.7047
12.2853 0.0000 0.6704
11.3333 0.0000 4.8947
18.2493 0.0000 2.0280
```

Results
Calculated formation energy ... -1.524 eV per atom
SG ... C2/m
Total energy ... -0.4707 Ry/atom



Record 12
NpPtRh: relaxed, PBE.

Geometry as POSCAR:
```
NpPtRh
1.0
4.6706 0.0000 0.0000
-2.3353 4.0448 0.0000
0.0000 0.0000 2.8865
Np Pt Rh
1 1 1
Cartesian
0.0000 0.0000 0.0000
2.3353 1.3483 1.4432
0.0000 2.6966 1.4432
```

Results
Calculated formation energy ... -0.314 eV per atom
SG ... P-6m2
Total energy ... -0.6682 Ry/atom



Record 13
HgHF2: relaxed, PBE.

Geometry as POSCAR:
```
HgHF2
1.0
1.4445 0.8340 6.4490
-1.4445 0.8340 6.4490
0.0000 -1.6679 6.4490
Hg H F
1 1 2
Cartesian
0.0000 0.0000 0.0000
0.0000 0.0000 9.6734
0.0000 0.0000 2.3112
0.0000 0.0000 17.0357
```

Results
SG ... R-3m
Total energy ... -0.1665 Ry/atom



Record 14
Tb3Er2In6: relaxed, PBE.

Geometry as POSCAR:
```
Tb3Er2In6
1.0
-2.8858 2.8858 11.1347
2.8858 -2.8858 11.1347
2.8858 2.8858 -11.1347
Tb Er In
3 2 6
Cartesian
0.0000 0.0000 0.0000
0.0000 0.0000 3.2824
0.0000 0.0000 18.9869
0.0000 0.0000 9.4496
0.0000 0.0000 12.8197
2.8858 0.0000 1.5877
0.0000 0.0000 6.3857
2.8858 0.0000 9.5470
0.0000 2.8858 1.5877
0.0000 0.0000 15.8836
0.0000 2.8858 9.5470
```

Results
Calculated formation energy ... 0.085 eV per atom
SG ... I4/mmm
Total energy ... -0.2574 Ry/atom



Record 15
RbNa2MgPd: relaxed, PBE.

Geometry as POSCAR:
```
RbNa2MgPd
1.0
5.7925 0.0000 0.0000
0.0000 5.7925 0.0000
0.0000 0.0000 5.1348
Rb Na Mg Pd
1 2 1 1
Cartesian
0.0000 0.0000 0.0000
0.0000 2.8962 2.5674
2.8962 0.0000 2.5674
2.8962 2.8962 0.0000
2.8962 2.8962 2.5674
```

Results
Calculated formation energy ... -0.041 eV per atom
SG ... P4/mmm
Total energy ... -0.1558 Ry/atom



Record 16
BaSr2Si: relaxed, PBE.

Geometry as POSCAR:
```
BaSr2Si
1.0
6.6791 0.0000 0.0000
0.0000 4.7396 0.0000
-3.3323 0.0000 6.7483
Ba Sr Si
1 2 1
Cartesian
0.0000 0.0000 0.0000
0.0019 2.3698 4.7704
3.3449 2.3698 1.9779
3.3396 0.0000 0.0000
```

Results
Formation energy from raw total energies ... -58 meV per atom
SG ... P2/m
Total energy ... -0.2011 Ry/atom



Record 17
CaHo2Ga2Cu2: relaxed, PBE.

Geometry as POSCAR:
```
CaHo2Ga2Cu2
1.0
2.2016 1.2711 9.3527
-2.2016 1.2711 9.3527
0.0000 -2.5422 9.3527
Ca Ho Ga Cu
1 2 2 2
Cartesian
0.0000 0.0000 0.0000
0.0000 0.0000 3.4913
0.0000 0.0000 24.5669
0.0000 0.0000 7.2601
0.0000 0.0000 20.7981
0.0000 0.0000 11.3874
0.0000 0.0000 16.6708
```

Results
Calculated formation energy ... -0.338 eV per atom
SG ... R-3m
Total energy ... -0.2916 Ry/atom



Record 18
Hf2ZrTlPb: relaxed, PBE.

Geometry as POSCAR:
```
Hf2ZrTlPb
1.0
5.2392 0.0000 0.0000
0.0000 5.2392 0.0000
0.0000 0.0000 5.6305
Hf Zr Tl Pb
2 1 1 1
Cartesian
0.0000 2.6196 0.0000
2.6196 0.0000 0.0000
0.0000 0.0000 0.0000
2.6196 2.6196 2.8152
0.0000 0.0000 2.8152
```

Results
Calculated formation energy ... 0.947 eV per atom
SG ... P4/mmm
Total energy ... -0.4380 Ry/atom



Record 19
SrAl2Cu: relaxed, PBE.

Geometry as POSCAR:
```
SrAl2Cu
1.0
2.8887 -4.8716 0.0000
2.8887 4.8716 0.0000
0.0000 0.0000 3.1508
Sr Al Cu
1 2 1
Cartesian
0.0000 0.0000 0.0000
1.4444 2.4358 1.5754
1.4444 -2.4358 1.5754
2.8887 0.0000 0.0000
```

Results
Calculated formation energy ... 0.309 eV per atom
SG ... Cmmm
Total energy ... -0.2210 Ry/atom



Record 20
AcZrPt2: relaxed, PBE.

Geometry as POSCAR:
```
AcZrPt2
1.0
3.4906 0.0000 0.0000
0.0000 3.4906 0.0000
0.0000 0.0000 7.4651
Ac Zr Pt
1 1 2
Cartesian
0.0000 0.0000 0.0000
0.0000 0.0000 3.7325
1.7453 1.7453 2.2712
1.7453 1.7453 5.1938
```

Results
Calculated formation energy ... -0.935 eV per atom
SG ... P4/mmm
Total energy ... -0.5233 Ry/atom



Record 21
Dy4Al2S: relaxed, PBE.

Geometry as POSCAR:
```
Dy4Al2S
1.0
6.1102 -2.0067 0.0000
6.1102 2.0067 0.0000
-4.9209 0.0000 7.2111
Dy Al S
4 2 1
Cartesian
-0.6761 0.0000 2.6308
-0.5219 0.0000 6.6635
7.8214 0.0000 0.5476
7.9756 0.0000 4.5803
2.9917 0.0000 2.4375
4.3078 0.0000 4.7736
0.0000 0.0000 0.0000
```

Results
Formation energy from raw total energies ... -785 meV per atom
SG ... C2/m
Total energy ... -0.3729 Ry/atom



Record 22
ThNpZn4: relaxed, PBE.

Geometry as POSCAR:
```
ThNpZn4
1.0
0.0000 3.8874 3.8874
3.8874 0.0000 3.8874
3.8874 3.8874 0.0000
Th Np Zn
1 1 4
Cartesian
0.0000 0.0000 0.0000
1.9437 1.9437 1.9437
4.8545 2.9204 2.9204
2.9204 4.8545 2.9204
2.9204 2.9204 4.8545
4.8545 4.8545 4.8545
```

Results
Calculated formation energy ... -0.038 eV per atom
SG ... F-43m
Total energy ... -0.3146 Ry/atom



Record 23
RbIrW2S8: relaxed, PBE.

Geometry as POSCAR:
```
RbIrW2S8
1.0
3.0940 1.7863 9.4185
-3.0940 1.7863 9.4185
0.0000 -3.5727 9.4185
Rb Ir W S
1 1 2 8
Cartesian
0.0000 0.0000 0.0000
0.0000 0.0000 14.1278
0.0000 0.0000 6.7558
0.0000 0.0000 21.4999
-0.9556 -1.6588 12.7056
-1.9144 -0.0018 15.5501
0.0000 0.0000 8.9371
-0.9587 1.6570 12.7056
0.9587 -1.6570 15.5501
0.0000 0.0000 19.3186
1.9144 0.0018 12.7056
0.9556 1.6588 15.5501
```

Results
Formation energy from raw total energies ... -471 meV per atom
SG ... R-3
Total energy ... -0.4557 Ry/atom



Record 24
GdPbAu: relaxed, PBE.

Geometry as POSCAR:
```
GdPbAu
1.0
-1.8106 1.8106 5.9217
1.8106 -1.8106 5.9217
1.8106 1.8106 -5.9217
Gd Pb Au
1 1 1
Cartesian
0.0000 0.0000 0.0000
0.0000 0.0000 8.3037
0.0000 0.0000 4.3425
```

Results
Calculated formation energy ... -0.516 eV per atom
SG ... I4mm
Total energy ... -0.5541 Ry/atom



Record 25
AcLaCuSn: relaxed, PBE.

Geometry as POSCAR:
```
AcLaCuSn
1.0
0.0000 3.9129 3.9129
3.9129 0.0000 3.9129
3.9129 3.9129 0.0000
Ac La Cu Sn
1 1 1 1
Cartesian
0.0000 0.0000 0.0000
3.9129 3.9129 3.9129
5.8693 5.8693 5.8693
1.9564 1.9564 1.9564
```

Results
Calculated formation energy ... -0.384 eV per atom
SG ... F-43m
Total energy ... -0.3430 Ry/atom



Record 26
RbBeRh3: relaxed, PBE.

Geometry as POSCAR:
```
RbBeRh3
1.0
4.7825 0.0000 0.0000
0.0000 4.7825 0.0000
0.0000 0.0000 4.7825
Rb Be Rh
1 1 3
Cartesian
0.0000 0.0000 0.0000
2.3912 2.3912 2.3912
0.0000 0.0000 2.3912
0.0000 2.3912 0.0000
2.3912 0.0000 0.0000
```

Results
Calculated formation energy ... 2.577 eV per atom
SG ... Pm-3m
Total energy ... -0.2038 Ry/atom



Record 27
Tl8SnHg6: relaxed, PBE.

Geometry as POSCAR:
```
Tl8SnHg6
1.0
12.4906 0.0000 0.0000
-6.2453 10.8171 0.0000
0.0000 0.0000 3.3816
Tl Sn Hg
8 1 6
Cartesian
-0.7567 3.2235 0.0000
-3.0753 9.8607 0.0000
2.4133 2.2671 0.0000
0.0000 7.2114 0.0000
6.2453 3.6057 0.0000
3.8320 8.5500 0.0000
9.3205 0.9564 0.0000
7.0020 7.5936 0.0000
0.0000 0.0000 1.6908
-2.7054 6.8476 1.6908
1.6677 5.0504 1.6908
5.2076 1.0809 1.6908
1.0376 9.7362 1.6908
4.5775 5.7667 1.6908
8.9507 3.9695 1.6908
```

Results
Calculated formation energy ... 0.043 eV per atom
SG ... P6/m
Total energy ... -0.1181 Ry/atom



Record 28
AlSbTeN2: relaxed, PBE.

Geometry as POSCAR:
```
AlSbTeN2
1.0
4.0148 0.0000 0.0000
0.0000 4.0148 0.0000
0.0000 0.0000 5.5574
Al Sb Te N
1 1 1 2
Cartesian
0.0000 0.0000 0.0000
2.0074 2.0074 2.7787
0.0000 0.0000 2.7787
0.0000 2.0074 0.0000
2.0074 0.0000 0.0000
```

Results
Formation energy from raw total energies ... 968 meV per atom
SG ... P4/mmm
Total energy ... -0.3354 Ry/atom